[1]
Material: Cs3Hg12Ge5
Method: DFT, GGA-PBE
State: optimized geometry

```
Cs3Hg12Ge5
1.0
-9.111 9.111 9.111
9.111 -9.111 9.111
9.111 9.111 -9.111
Cs Hg Ge
12 48 20
direct
0.125 0.250 0.375 Cs
0.125 0.375 0.750 Cs
0.250 0.375 0.125 Cs
0.250 0.875 0.625 Cs
0.375 0.125 0.250 Cs
0.375 0.750 0.125 Cs
0.625 0.250 0.875 Cs
0.625 0.875 0.750 Cs
0.750 0.125 0.375 Cs
0.750 0.625 0.875 Cs
0.875 0.625 0.250 Cs
0.875 0.750 0.625 Cs
0.018 0.695 0.071 Hg
0.018 0.823 0.947 Hg
0.053 0.571 0.876 Hg
0.053 0.982 0.177 Hg
0.071 0.018 0.695 Hg
0.071 0.553 0.376 Hg
0.124 0.677 0.695 Hg
0.124 0.947 0.429 Hg
0.177 0.053 0.982 Hg
0.177 0.624 0.195 Hg
0.195 0.177 0.624 Hg
0.195 0.518 0.571 Hg
0.305 0.876 0.323 Hg
0.305 0.929 0.982 Hg
0.323 0.305 0.876 Hg
0.323 0.518 0.447 Hg
0.376 0.071 0.553 Hg
0.376 0.805 0.823 Hg
0.429 0.124 0.947 Hg
0.429 0.805 0.482 Hg
0.447 0.323 0.518 Hg
0.447 0.624 0.929 Hg
0.482 0.429 0.805 Hg
0.482 0.553 0.677 Hg
0.518 0.447 0.323 Hg
0.518 0.571 0.195 Hg
0.553 0.376 0.071 Hg
0.553 0.677 0.482 Hg
0.571 0.195 0.518 Hg
0.571 0.876 0.053 Hg
0.624 0.195 0.177 Hg
0.624 0.929 0.447 Hg
0.677 0.482 0.553 Hg
0.677 0.695 0.124 Hg
0.695 0.071 0.018 Hg
0.695 0.124 0.677 Hg
0.805 0.482 0.429 Hg
0.805 0.823 0.376 Hg
0.823 0.376 0.805 Hg
0.823 0.947 0.018 Hg
0.876 0.053 0.571 Hg
0.876 0.323 0.305 Hg
0.929 0.447 0.624 Hg
0.929 0.982 0.305 Hg
0.947 0.018 0.823 Hg
0.947 0.429 0.124 Hg
0.982 0.177 0.053 Hg
0.982 0.305 0.929 Hg
0.000 0.000 0.000 Ge
0.000 0.000 0.500 Ge
0.000 0.500 0.000 Ge
0.000 0.500 0.500 Ge
0.125 0.750 0.875 Ge
0.125 0.875 0.250 Ge
0.250 0.125 0.875 Ge
0.250 0.625 0.375 Ge
0.375 0.250 0.625 Ge
0.375 0.625 0.750 Ge
0.500 0.000 0.000 Ge
0.500 0.000 0.500 Ge
0.500 0.500 0.000 Ge
0.500 0.500 0.500 Ge
0.625 0.375 0.250 Ge
0.625 0.750 0.375 Ge
0.750 0.375 0.625 Ge
0.750 0.875 0.125 Ge
0.875 0.125 0.750 Ge
0.875 0.250 0.125 Ge
```

Results
Crystal system: cubic
Energy of formation: 50 meV per atom

***

[2]
Material: CsHgGe
Method: DFT, GGA-PBE
State: optimized geometry

```
CsHgGe
1.0
4.107 0.000 0.000
0.004 6.916 0.000
2.050 1.270 8.173
Cs Hg Ge
2 2 2
direct
0.000 0.000 0.000 Cs
0.224 0.703 0.545 Cs
0.530 0.529 0.937 Hg
0.695 0.173 0.608 Hg
0.338 0.254 0.323 Ge
0.888 0.450 0.222 Ge
```

Results
Crystal system: triclinic
Polymorph energy (0 for the lowest one): 0.0165 eV per atom
Energy of formation: -127 meV per atom

***

[3]
Material: Cs2HgGeI6
Method: DFT, GGA-PBE
State: optimized geometry

```
Cs2HgGeI6
1.0
-4.260 4.260 6.049
4.260 -4.260 6.049
4.260 4.260 -6.049
Cs Hg Ge I
2 1 1 6
direct
0.250 0.750 0.500 Cs
0.750 0.250 0.500 Cs
0.000 0.000 0.000 Hg
0.500 0.500 0.000 Ge
0.254 0.254 0.000 I
0.254 0.254 0.507 I
0.254 0.746 0.000 I
0.746 0.254 0.000 I
0.746 0.746 0.000 I
0.746 0.746 0.493 I
```

Results
Crystal system: tetragonal
Final energy: -23.72 eV per cell

***

[4]
Material: Cs4HgGe3I12
Method: DFT, GGA-PBE
State: optimized geometry

```
Cs4HgGe3I12
1.0
-6.013 6.013 6.013
6.013 -6.013 6.013
6.013 6.013 -6.013
Cs Hg Ge I
4 1 3 12
direct
0.000 0.000 0.500 Cs
0.000 0.500 0.000 Cs
0.500 0.000 0.000 Cs
0.500 0.500 0.500 Cs
0.000 0.000 0.000 Hg
0.000 0.500 0.500 Ge
0.500 0.000 0.500 Ge
0.500 0.500 0.000 Ge
0.000 0.254 0.254 I
0.000 0.746 0.746 I
0.250 0.500 0.750 I
0.250 0.750 0.500 I
0.254 0.000 0.254 I
0.254 0.254 0.000 I
0.500 0.250 0.750 I
0.500 0.750 0.250 I
0.746 0.000 0.746 I
0.746 0.746 0.000 I
0.750 0.250 0.500 I
0.750 0.500 0.250 I
```

Results
Crystal system: cubic
Final energy: -52.13 eV per cell

***

[5]
Material: Cs2Hg2GeI4
Method: DFT, GGA-PBE
State: optimized geometry

```
Cs2Hg2GeI4
1.0
-4.438 4.438 4.851
4.438 -4.438 4.851
4.438 4.438 -4.851
Cs Hg Ge I
2 2 1 4
direct
0.250 0.750 0.500 Cs
0.750 0.250 0.500 Cs
0.202 0.202 0.000 Hg
0.798 0.798 0.000 Hg
0.500 0.500 0.000 Ge
0.259 0.259 0.519 I
0.259 0.741 0.000 I
0.741 0.259 0.000 I
0.741 0.741 0.481 I
```

Results
Crystal system: tetragonal
Final energy: -20.22 eV per cell

***

[6]
Material: CsInHg2Ge
Method: DFT, GGA-PBE
State: optimized geometry

```
CsInHg2Ge
1.0
5.808 0.000 0.000
0.000 5.808 0.000
0.000 0.000 5.527
Cs In Hg Ge
1 1 2 1
direct
0.000 0.000 0.000 Cs
0.500 0.500 0.000 In
0.000 0.500 0.500 Hg
0.500 0.000 0.500 Hg
0.500 0.500 0.500 Ge
```

Results
Crystal system: tetragonal
Energy of formation: 7 meV per atom

***

[7]
Material: CsKHg2Ge
Method: DFT, GGA-PBE
State: optimized geometry

```
CsKHg2Ge
1.0
5.761 0.000 0.000
0.000 5.761 0.000
0.000 0.000 6.241
Cs K Hg Ge
1 1 2 1
direct
0.000 0.000 0.000 Cs
0.500 0.500 0.000 K
0.000 0.500 0.500 Hg
0.500 0.000 0.500 Hg
0.500 0.500 0.500 Ge
```

Results
Crystal system: tetragonal
Energy of formation: -20 meV per atom

***

[8]
Material: CsKHgGe2
Method: DFT, GGA-PBE
State: optimized geometry

```
CsKHgGe2
1.0
6.105 0.000 0.000
0.000 6.105 0.000
0.000 0.000 7.018
Cs K Hg Ge
1 1 1 2
direct
0.000 0.000 0.000 Cs
0.000 0.000 0.500 K
0.500 0.500 0.000 Hg
0.000 0.500 0.500 Ge
0.500 0.000 0.500 Ge
```

Results
Crystal system: tetragonal
Energy of formation: 845 meV per atom

***

[9]
Material: CsK2HgGe
Method: DFT, GGA-PBE
State: optimized geometry

```
CsK2HgGe
1.0
6.653 0.000 0.000
0.000 6.653 0.000
0.000 0.000 5.567
Cs K Hg Ge
1 2 1 1
direct
0.000 0.000 0.000 Cs
0.000 0.500 0.500 K
0.500 0.000 0.500 K
0.500 0.500 0.000 Hg
0.500 0.500 0.500 Ge
```

Results
Crystal system: tetragonal
Energy of formation: 15 meV per atom

***

[10]
Material: CsLiHg2Ge
Method: DFT, GGA-PBE
State: optimized geometry

```
CsLiHg2Ge
1.0
5.767 0.000 0.000
0.000 5.767 0.000
0.000 0.000 5.152
Cs Li Hg Ge
1 1 2 1
direct
0.000 0.000 0.000 Cs
0.500 0.500 0.000 Li
0.000 0.500 0.500 Hg
0.500 0.000 0.500 Hg
0.500 0.500 0.500 Ge
```

Results
Crystal system: tetragonal
Energy of formation: -115 meV per atom

***

[11]
Material: CsLi2HgGe
Method: DFT, GGA-PBE
State: optimized geometry

```
CsLi2HgGe
1.0
5.248 0.000 0.000
0.000 5.248 0.000
0.000 0.000 5.665
Cs Li Hg Ge
1 2 1 1
direct
0.000 0.000 0.000 Cs
0.000 0.500 0.500 Li
0.500 0.000 0.500 Li
0.500 0.500 0.000 Hg
0.500 0.500 0.500 Ge
```

Results
Crystal system: tetragonal
Energy of formation: -131 meV per atom

***

[12]
Material: CsNa2HgGe
Method: DFT, GGA-PBE
State: optimized geometry

```
CsNa2HgGe
1.0
5.769 0.000 0.000
0.000 5.769 0.000
0.000 0.000 5.755
Cs Na Hg Ge
1 2 1 1
direct
0.000 0.000 0.000 Cs
0.000 0.500 0.500 Na
0.500 0.000 0.500 Na
0.500 0.500 0.000 Hg
0.500 0.500 0.500 Ge
```

Results
Crystal system: tetragonal
Energy of formation: -69 meV per atom